Entry 1:
The following is a DFT calculation (SCAN) of a crystal of Ce3Ag4Ge4 relaxed with PBEsol.

Lattice parameters (Å, degrees): 8.3154 8.3154 8.3154 149.32 130.04 59.78
Fractional positions:
Ce (0.0000, 0.0000, 0.0000)
Ce (0.3738, 0.8738, 0.5000)
Ce (0.6262, 0.1262, 0.5000)
Ag (0.0260, 0.3309, 0.6950)
Ag (0.3641, 0.6691, 0.6950)
Ag (0.6359, 0.3309, 0.3050)
Ag (0.9740, 0.6691, 0.3050)
Ge (0.2165, 0.2165, 0.0000)
Ge (0.3163, 0.5000, 0.8163)
Ge (0.6837, 0.5000, 0.1837)
Ge (0.7835, 0.7835, 0.0000)

As for the energy of formation: -6.197 eV per formula unit. The calculation puts the calculated volume at 20.3 Å³/atom. Its crystal system is orthorhombic.

***

Entry 2:
The following is a DFT calculation (SCAN) of a crystal of CeAgHg2 relaxed with PBEsol.

Lattice parameters (Å, degrees): 4.9975 4.9975 4.9975 60.00 60.00 60.00
Fractional positions:
Ce (0.0000, 0.0000, 0.0000)
Ag (0.5000, 0.5000, 0.5000)
Hg (0.2500, 0.2500, 0.2500)
Hg (0.7500, 0.7500, 0.7500)

As for the energy of formation: -1.437 eV per formula unit. The calculation puts the calculated volume at 22.1 Å³/atom. Its crystal system is cubic.

***

Entry 3:
The following is a DFT calculation (SCAN) of a crystal of Ce2AgHg relaxed with PBEsol.

Lattice parameters (Å, degrees): 5.2186 5.2186 5.2186 60.00 60.00 60.00
Fractional positions:
Ce (0.2500, 0.2500, 0.2500)
Ce (0.7500, 0.7500, 0.7500)
Ag (0.0000, 0.0000, 0.0000)
Hg (0.5000, 0.5000, 0.5000)

As for the energy of formation: -1.192 eV per formula unit. The calculation puts the calculated volume at 25.1 Å³/atom. Its crystal system is cubic.

***

Entry 4:
The following is a DFT calculation (SCAN) of a crystal of K2CeAgI6 relaxed with PBEsol.

Lattice parameters (Å, degrees): 8.4715 8.4715 8.4715 60.00 60.00 60.00
Fractional positions:
K (0.2500, 0.2500, 0.2500)
K (0.7500, 0.7500, 0.7500)
Ce (0.0000, 0.0000, 0.0000)
Ag (0.5000, 0.5000, 0.5000)
I (0.2557, 0.2557, 0.7443)
I (0.2557, 0.7443, 0.2557)
I (0.2557, 0.7443, 0.7443)
I (0.7443, 0.2557, 0.2557)
I (0.7443, 0.2557, 0.7443)
I (0.7443, 0.7443, 0.2557)

The value obtained for the raw formation energy is -1243 meV per atom. The calculation puts the calculated volume at 43.0 Å³/atom. Its crystal system is cubic.

***

- Look up the calculated volume of the fourth one.
  43.0 Å³/atom